Entry 1:
Entry from the Alexandria database: crystalline K3AlFe at its relaxed geometry (PBE).

## Properties
**Total moment**: 2.748 μB/cell
**E_tot**: -2.037 eV per atom
**Symmetry**: No. 221
**E_form**: 1.063 eV per atom
**Calculated density**: 1.4 g/cm³

Lattice parameters (Å, degrees): 6.2657 6.2657 6.2657 90.00 90.00 90.00
Last column: nearest neighbours and their distance in Å.
Element x y z (fractional)
K 0.0000 0.5000 0.0000  2 Fe 3.13
K 0.0000 0.0000 0.5000  2 Fe 3.13
K 0.5000 0.0000 0.0000  2 Fe 3.13
Fe 0.0000 0.0000 0.0000  6 K 3.13
Al 0.5000 0.5000 0.5000  12 K 4.43


Entry 2:
Entry from the Alexandria database: crystalline Ca3Y at its relaxed geometry (PBE).

## Properties
**Total moment**: 0.925 μB/cell
**E_tot**: -3.036 eV per atom
**Symmetry**: No. 123
**E_form**: 0.081 eV per atom
**Calculated density**: 2.2 g/cm³

Lattice parameters (Å, degrees): 3.7956 3.7956 10.8526 90.00 90.00 90.00
Last column: nearest neighbours and their distance in Å.
Element x y z (fractional)
Y 0.5000 0.5000 0.7500  8 Ca 3.72, 4 Y 3.80
Ca 0.0000 0.0000 0.9871  4 Y 3.72, 8 Ca 3.80-3.92
Ca 0.5000 0.5000 0.2500  12 Ca 3.80-3.92
Ca 0.0000 0.0000 0.5129  4 Y 3.72, 8 Ca 3.80-3.92


Entry 3:
Entry from the Alexandria database: crystalline CrGa2Fe at its relaxed geometry (PBE).

## Properties
**Total moment**: 3.943 μB/cell
**E_tot**: -6.024 eV per atom
**Symmetry**: No. 123
**E_form**: 0.011 eV per atom
**Calculated density**: 7.8 g/cm³

Lattice parameters (Å, degrees): 3.0524 3.0524 5.6499 90.00 90.00 90.00
Last column: nearest neighbours and their distance in Å.
Element x y z (fractional)
Cr 0.5000 0.5000 0.5000  8 Ga 2.62, 2 Fe 2.82
Fe 0.5000 0.5000 0.0000  8 Ga 2.54, 2 Cr 2.82
Ga 0.0000 0.0000 0.7614  4 Fe 2.54, 4 Cr 2.62, 1 Ga 2.70
Ga 0.0000 0.0000 0.2386  4 Fe 2.54, 4 Cr 2.62, 1 Ga 2.70


Entry 4:
Entry from the Alexandria database: crystalline LiCoSiSe2 at its relaxed geometry (PBE).

## Properties
**Total moment**: 1.934 μB/cell
**E_tot**: -3.575 eV per atom
**Symmetry**: No. 123
**ΔE_f (raw)**: 3.5 eV per formula unit
**Calculated density**: 4.6 g/cm³

Lattice parameters (Å, degrees): 4.7007 4.1097 4.7007 90.00 90.00 90.00
Last column: nearest neighbours and their distance in Å.
Element x y z (fractional)
Si 0.5000 0.5000 0.5000  8 Se 3.12, 4 Co 3.32
Co 0.0000 0.5000 0.0000  2 Li 2.05
Se 0.0000 0.0000 0.5000  2 Li 2.35
Se 0.5000 0.0000 0.0000  2 Li 2.35
Li 0.0000 0.0000 0.0000  2 Co 2.05


Entry 5:
Entry from the Alexandria database: crystalline Mn2Cd at its relaxed geometry (PBE).

## Properties
**Total moment**: 2.125 μB/cell
**E_tot**: -5.665 eV per atom
**Symmetry**: No. 141
**E_form**: 0.753 eV per atom
**Calculated density**: 8.1 g/cm³

Lattice parameters (Å, degrees): 7.3671 7.3671 7.3671 151.42 151.42 40.87
Last column: nearest neighbours and their distance in Å.
Element x y z (fractional)
Mn 0.3333 0.8333 0.5000  3 Mn 2.15-2.30
Mn 0.1667 0.6667 0.5000  3 Mn 2.15-2.30
Mn 0.5833 0.5833 0.0000  3 Mn 2.15-2.30
Mn 0.4167 0.4167 0.0000  3 Mn 2.15-2.30
Cd 0.0000 0.0000 0.0000  12 Mn 2.82-2.93
Cd 0.7500 0.2500 0.5000  12 Mn 2.82-2.93


Entry 6:
Entry from the Alexandria database: crystalline YIrRuPb at its relaxed geometry (PBE).

## Properties
**Total moment**: 0.000 μB/cell
**E_tot**: -7.237 eV per atom
**Symmetry**: No. 8
**E_form**: -0.159 eV per atom
**Calculated density**: 10.8 g/cm³

Lattice parameters (Å, degrees): 6.0466 4.3696 7.5419 90.00 114.59 90.00
Last column: nearest neighbours and their distance in Å.
Element x y z (fractional)
Pb 0.5298 0.0000 0.2978  3 Ru 2.94-2.95, 3 Ir 2.98-2.99
Pb 0.5298 0.5000 0.7978  3 Ru 2.94-2.95, 3 Ir 2.98-2.99
Ru 0.2517 0.0000 0.8721  3 Ir 2.52
Ru 0.2517 0.5000 0.3721  3 Ir 2.52
Ir 0.2388 0.0000 0.5333  3 Ru 2.52
Ir 0.2388 0.5000 0.0333  3 Ru 2.52
Y 0.9283 0.0000 0.0976  3 Ir 3.03-3.05, 3 Ru 3.08, 4 Pb 3.31-3.34
Y 0.9283 0.5000 0.5976  3 Ir 3.03-3.05, 3 Ru 3.08, 4 Pb 3.31-3.34


Entry 7:
Entry from the Alexandria database: crystalline TbNp2CuS5 at its relaxed geometry (PBE).

## Properties
**Total moment**: 15.859 μB/cell
**E_tot**: -7.509 eV per atom
**Symmetry**: No. 36
**ΔE_f (raw)**: -12.3 eV per formula unit
**Calculated density**: 7.8 g/cm³

Lattice parameters (Å, degrees): 3.8001 8.3910 11.7337 90.00 90.00 103.09
Last column: nearest neighbours and their distance in Å.
Element x y z (fractional)
Tb 0.8191 0.6382 0.5269  6 S 2.72-2.76
Tb 0.1809 0.3618 0.0269  6 S 2.72-2.76
Np 0.8894 0.7788 0.8473  7 S 2.81-2.99
Np 0.1164 0.2328 0.6916  8 S 2.83-3.03
Np 0.1106 0.2212 0.3473  7 S 2.81-2.99
Np 0.8836 0.7672 0.1916  8 S 2.83-3.03
Cu 0.5506 0.1012 0.9236  4 S 2.25-2.33
Cu 0.4494 0.8988 0.4236  4 S 2.25-2.33
S 0.3471 0.6942 0.0190  1 Tb 2.72, 4 Np 2.84-2.85
S 0.6851 0.3701 0.8566  1 Cu 2.33
S 0.4944 0.9887 0.7485  1 Cu 2.25
S 0.3018 0.6035 0.6929  2 Tb 2.74, 3 Np 2.99-3.03
S 0.9877 0.9754 0.5175  2 Cu 2.28
S 0.6529 0.3058 0.5190  1 Tb 2.72, 4 Np 2.84-2.85
S 0.3149 0.6299 0.3566  1 Cu 2.33
S 0.5056 0.0113 0.2485  1 Cu 2.25
S 0.6982 0.3965 0.1929  2 Tb 2.74, 3 Np 2.99-3.03
S 0.0123 0.0246 0.0175  2 Cu 2.28


Entry 8:
Entry from the Alexandria database: crystalline DyBe17Rh at its relaxed geometry (PBE).

## Properties
**Total moment**: 0.000 μB/cell
**E_tot**: -4.090 eV per atom
**Symmetry**: No. 160
**E_form**: -0.127 eV per atom
**Calculated density**: 3.9 g/cm³

Lattice parameters (Å, degrees): 5.6517 5.6517 5.6517 83.40 83.40 83.40
Last column: nearest neighbours and their distance in Å.
Element x y z (fractional)
Dy 0.6560 0.6560 0.6560  19 Be 2.72-2.86
Be 0.2883 0.0088 0.7048  8 Be 2.10-2.30
Be 0.7048 0.2883 0.0088  8 Be 2.10-2.30
Be 0.0088 0.7048 0.2883  8 Be 2.10-2.30
Be 0.2883 0.7048 0.0088  8 Be 2.10-2.30
Be 0.0088 0.2883 0.7048  8 Be 2.10-2.30
Be 0.7048 0.0088 0.2883  8 Be 2.10-2.30
Be 0.3407 0.8712 0.3407  9 Be 2.16-2.26
Be 0.3407 0.3407 0.8712  9 Be 2.16-2.26
Be 0.8712 0.3407 0.3407  9 Be 2.16-2.26
Be 0.6485 0.1636 0.6485  9 Be 2.17-2.42
Be 0.6485 0.6485 0.1636  9 Be 2.17-2.42
Be 0.1636 0.6485 0.6485  9 Be 2.17-2.42
Be 0.9923 0.5089 0.9923  10 Be 2.13-2.35
Be 0.9923 0.9923 0.5089  10 Be 2.13-2.35
Be 0.5089 0.9923 0.9923  10 Be 2.13-2.35
Be 0.9064 0.9064 0.9064  4 Be 2.11-2.25
Be 0.1008 0.1008 0.1008  7 Be 2.11-2.35
Rh 0.3265 0.3265 0.3265  13 Be 2.45-2.73


Entry 9:
Entry from the Alexandria database: crystalline La2Ga4Ir3Au at its relaxed geometry (PBE).

## Properties
**Total moment**: 0.000 μB/cell
**E_tot**: -5.864 eV per atom
**Symmetry**: No. 115
**E_form**: -0.682 eV per atom
**Calculated density**: 11.2 g/cm³

Lattice parameters (Å, degrees): 4.2833 4.2833 10.7391 90.00 90.00 90.00
Last column: nearest neighbours and their distance in Å.
Element x y z (fractional)
La 0.5000 0.0000 0.2435  6 Ir 3.26-3.49, 8 Ga 3.30-3.38, 2 Au 3.49
La 0.0000 0.5000 0.7565  6 Ir 3.26-3.49, 8 Ga 3.30-3.38, 2 Au 3.49
Ga 0.5000 0.5000 0.0000  4 Ir 2.56
Ga 0.0000 0.0000 0.0000  4 Ir 2.56
Ga 0.5000 0.0000 0.6347  3 Ir 2.51-2.58, 2 Au 2.58
Ga 0.0000 0.5000 0.3653  3 Ir 2.51-2.58, 2 Au 2.58
Ir 0.0000 0.0000 0.5000  4 Ga 2.58
Ir 0.5000 0.0000 0.8688  5 Ga 2.51-2.56
Ir 0.0000 0.5000 0.1312  5 Ga 2.51-2.56
Au 0.5000 0.5000 0.5000  4 Ga 2.58


Entry 10:
Entry from the Alexandria database: crystalline YZrNb2N at its relaxed geometry (PBE).

## Properties
**Total moment**: 0.000 μB/cell
**E_tot**: -5.801 eV per atom
**Symmetry**: No. 123
**ΔE_f (raw)**: 14.5 eV per formula unit
**Calculated density**: 5.1 g/cm³

Lattice parameters (Å, degrees): 4.8008 5.3501 4.8008 90.00 90.00 90.00
Last column: nearest neighbours and their distance in Å.
Element x y z (fractional)
Y 0.0000 0.0000 0.0000  4 Nb 2.40, 2 Zr 2.68
Nb 0.0000 0.0000 0.5000  2 Y 2.40
Nb 0.5000 0.0000 0.0000  2 Y 2.40
Zr 0.0000 0.5000 0.0000  2 Y 2.68
N 0.5000 0.5000 0.5000  4 Zr 3.39, 8 Nb 3.59


Entry 11:
Entry from the Alexandria database: crystalline NpRe5Si6 at its relaxed geometry (PBE).

## Properties
**Total moment**: 3.089 μB/cell
**E_tot**: -9.009 eV per atom
**Symmetry**: No. 12
**ΔE_f (raw)**: -0.4 eV per formula unit
**Calculated density**: 12.2 g/cm³

Lattice parameters (Å, degrees): 7.1485 5.1688 6.3696 66.06 77.53 57.84
Last column: nearest neighbours and their distance in Å.
Element x y z (fractional)
Np 0.0000 0.0000 0.0000  8 Si 2.80-2.94, 2 Re 3.10
Re 0.5000 0.1312 0.7376  6 Si 2.47-2.76
Re 0.0000 0.3115 0.3771  6 Si 2.47-2.52
Re 0.5000 0.5000 0.0000  6 Si 2.49-2.56
Re 0.0000 0.6885 0.6229  6 Si 2.47-2.52
Re 0.5000 0.8688 0.2624  6 Si 2.47-2.76
Si 0.7040 0.2032 0.3699  5 Re 2.47-2.76, 2 Si 2.50-2.76
Si 0.2960 0.4269 0.3699  5 Re 2.47-2.76, 2 Si 2.50-2.76
Si 0.2037 0.3643 0.0000  3 Si 2.47-2.76, 5 Re 2.47-2.56
Si 0.7963 0.6357 0.0000  3 Si 2.47-2.76, 5 Re 2.47-2.56
Si 0.7040 0.5731 0.6301  5 Re 2.47-2.76, 2 Si 2.50-2.76
Si 0.2960 0.7968 0.6301  5 Re 2.47-2.76, 2 Si 2.50-2.76


Entry 12:
Entry from the Alexandria database: crystalline FeWSe3 at its relaxed geometry (PBE).

## Properties
**Total moment**: 4.341 μB/cell
**E_tot**: -5.623 eV per atom
**Symmetry**: No. 221
**ΔE_f (raw)**: 3.8 eV per formula unit
**Calculated density**: 6.6 g/cm³

Lattice parameters (Å, degrees): 4.9432 4.9432 4.9432 90.00 90.00 90.00
Last column: nearest neighbours and their distance in Å.
Element x y z (fractional)
Se 0.0000 0.5000 0.0000  2 W 2.47
Se 0.0000 0.0000 0.5000  2 W 2.47
Se 0.5000 0.0000 0.0000  2 W 2.47
W 0.0000 0.0000 0.0000  6 Se 2.47
Fe 0.5000 0.5000 0.5000  12 Se 3.50


Entry 13:
Entry from the Alexandria database: crystalline Li2LaScF8 at its relaxed geometry (PBE).

## Properties
**Total moment**: 0.073 μB/cell
**E_tot**: -6.129 eV per atom
**Symmetry**: No. 2
**ΔE_f (raw)**: -43.5 eV per formula unit
**Calculated density**: 3.7 g/cm³

Lattice parameters (Å, degrees): 4.1052 5.1039 7.4995 96.40 89.08 85.40
Last column: nearest neighbours and their distance in Å.
Element x y z (fractional)
Li 0.4629 0.4605 0.8047  5 F 1.99-2.06
Li 0.5371 0.5395 0.1953  5 F 1.99-2.06
La 0.0000 0.0000 0.5000  8 F 2.34-2.55
Sc 0.0000 0.0000 0.0000  6 F 2.06-2.10
F 0.1153 0.7623 0.1997  1 Li 1.99, 1 Sc 2.07
F 0.6256 0.7533 0.9855  2 Li 2.06, 1 Sc 2.06
F 0.8605 0.2391 0.2397  1 Li 2.01, 1 Sc 2.10
F 0.8847 0.2377 0.8003  1 Li 1.99, 1 Sc 2.07
F 0.3744 0.2467 0.0145  2 Li 2.06, 1 Sc 2.06
F 0.1395 0.7609 0.7603  1 Li 2.01, 1 Sc 2.10
F 0.5583 0.7445 0.4401  1 Li 2.02
F 0.4417 0.2555 0.5599  1 Li 2.02


Entry 14:
Entry from the Alexandria database: crystalline CsZnTc at its relaxed geometry (PBE).

## Properties
**Total moment**: 0.000 μB/cell
**E_tot**: -3.710 eV per atom
**Symmetry**: No. 1
**E_form**: 0.455 eV per atom
**Calculated density**: 4.5 g/cm³

Lattice parameters (Å, degrees): 3.8171 5.0500 12.4941 98.48 92.57 112.14
Last column: nearest neighbours and their distance in Å.
Element x y z (fractional)
Cs 0.9747 0.8798 0.3410  3 Zn 3.66-4.04, 2 Tc 3.67-3.68, 2 Cs 3.82
Cs 0.7035 0.1631 0.9382  3 Zn 3.66-4.03, 2 Tc 3.68-3.69, 2 Cs 3.82
Zn 0.3827 0.6324 0.5581  4 Tc 2.62-2.85, 2 Zn 2.77
Zn 0.9443 0.7084 0.7217  4 Tc 2.62-2.85, 2 Zn 2.77
Tc 0.6719 0.1998 0.5849  2 Tc 2.33
Tc 0.2129 0.2500 0.6938  2 Tc 2.33


Entry 15:
Entry from the Alexandria database: crystalline SrPmAlGe at its relaxed geometry (PBE).

## Properties
**Total moment**: 0.000 μB/cell
**E_tot**: -3.997 eV per atom
**Symmetry**: No. 216
**E_form**: -0.299 eV per atom
**Calculated density**: 5.1 g/cm³

Lattice parameters (Å, degrees): 5.3411 5.3411 5.3411 60.00 60.00 60.00
Last column: nearest neighbours and their distance in Å.
Element x y z (fractional)
Sr 0.2500 0.2500 0.2500  4 Ge 3.27, 4 Al 3.27
Ge 0.5000 0.5000 0.5000  4 Pm 3.27, 4 Sr 3.27
Al 0.0000 0.0000 0.0000  4 Sr 3.27, 4 Pm 3.27
Pm 0.7500 0.7500 0.7500  4 Ge 3.27, 4 Al 3.27


Entry 16:
Entry from the Alexandria database: crystalline PmGa2Ag at its relaxed geometry (PBE).

## Properties
**Total moment**: 0.000 μB/cell
**E_tot**: -3.786 eV per atom
**Symmetry**: No. 123
**E_form**: -0.372 eV per atom
**Calculated density**: 7.7 g/cm³

Lattice parameters (Å, degrees): 4.2690 4.4654 4.4654 90.00 90.00 90.00
Last column: nearest neighbours and their distance in Å.
Element x y z (fractional)
Ga 0.0000 0.0000 0.5000  4 Pm 3.09, 4 Ag 3.09, 4 Ga 3.16
Ga 0.0000 0.5000 0.0000  4 Pm 3.09, 4 Ag 3.09, 4 Ga 3.16
Ag 0.5000 0.0000 0.0000  8 Ga 3.09, 4 Pm 3.16
Pm 0.5000 0.5000 0.5000  8 Ga 3.09, 4 Ag 3.16


Entry 17:
Entry from the Alexandria database: crystalline Sb2AsBr at its relaxed geometry (PBE).

## Properties
**Total moment**: 0.000 μB/cell
**E_tot**: -3.344 eV per atom
**Symmetry**: No. 119
**ΔE_f (raw)**: 1.2 eV per formula unit
**Calculated density**: 6.7 g/cm³

Lattice parameters (Å, degrees): 5.1870 5.1870 5.1870 119.96 119.96 90.06
Last column: nearest neighbours and their distance in Å.
Element x y z (fractional)
Sb 0.0000 0.0000 0.0000  4 Br 3.18, 4 Sb 3.18
Sb 0.2500 0.7500 0.5000  4 As 3.18, 4 Sb 3.18
As 0.5000 0.5000 0.0000  4 Sb 3.18, 4 Br 3.18
Br 0.7500 0.2500 0.5000  4 As 3.18, 4 Sb 3.18


Entry 18:
Entry from the Alexandria database: crystalline Cs2SiTe5 at its relaxed geometry (PBE).

## Properties
**Total moment**: 0.000 μB/cell
**E_tot**: -3.211 eV per atom
**Symmetry**: No. 107
**ΔE_f (raw)**: -2.8 eV per formula unit
**Calculated density**: 4.7 g/cm³

Lattice parameters (Å, degrees): 6.9773 6.9771 8.4001 114.54 114.54 90.00
Last column: nearest neighbours and their distance in Å.
Element x y z (fractional)
Cs 0.2672 0.7672 0.5344  2 Te 3.49
Cs 0.7672 0.2672 0.5344  2 Te 3.49
Si 0.9359 0.9359 0.8719  5 Te 2.47-2.73
Te 0.7577 0.2687 0.0264  1 Si 2.73
Te 0.2686 0.2686 0.0264  1 Si 2.73
Te 0.7577 0.7578 0.0264  1 Si 2.73
Te 0.2687 0.7577 0.0264  1 Si 2.73
Te 0.7540 0.7539 0.5079  1 Si 2.47


Entry 19:
Entry from the Alexandria database: crystalline GeSeBr2 at its relaxed geometry (PBE).

## Properties
**Total moment**: 2.116 μB/cell
**E_tot**: -2.824 eV per atom
**Symmetry**: No. 122
**ΔE_f (raw)**: 0.2 eV per formula unit
**Calculated density**: 3.9 g/cm³

Lattice parameters (Å, degrees): 10.1589 10.1589 7.6273 48.24 48.24 90.00
Last column: nearest neighbours and their distance in Å.
Element x y z (fractional)
Ge 0.5000 0.5000 0.0000  2 Se 2.56, 4 Br 2.77
Ge 0.2500 0.7500 0.5000  2 Se 2.56, 4 Br 2.77
Se 0.0000 0.0000 0.0000  2 Ge 2.56
Se 0.7500 0.2500 0.5000  2 Ge 2.56
Br 0.4638 0.1250 0.2500  2 Ge 2.77
Br 0.2862 0.6250 0.2500  2 Ge 2.77
Br 0.3750 0.5362 0.7500  2 Ge 2.77
Br 0.8750 0.7138 0.7500  2 Ge 2.77


Entry 20:
Entry from the Alexandria database: crystalline PmZrSn at its relaxed geometry (PBE).

## Properties
**Total moment**: 1.126 μB/cell
**E_tot**: -6.337 eV per atom
**Symmetry**: No. 139
**E_form**: -0.570 eV per atom
**Calculated density**: 7.2 g/cm³

Lattice parameters (Å, degrees): 4.3687 4.3687 9.1073 103.88 103.88 90.00
Last column: nearest neighbours and their distance in Å.
Element x y z (fractional)
Pm 0.6768 0.6768 0.3535  5 Sn 3.20-3.34
Pm 0.3232 0.3232 0.6465  5 Sn 3.20-3.34
Zr 0.5000 0.0000 0.0000  4 Zr 3.09, 4 Sn 3.10
Zr 0.0000 0.5000 0.0000  4 Zr 3.09, 4 Sn 3.10
Sn 0.1280 0.1280 0.2561  4 Zr 3.10, 5 Pm 3.20-3.34
Sn 0.8720 0.8720 0.7439  4 Zr 3.10, 5 Pm 3.20-3.34